VASP calculation (GGA+U) on an optimized crystal structure of Ba2La2Mn4O11.

Output
The calculation puts the total energy at -143.4 eV/cell. As for the space group: Cmmm (65).

Unit cell a=3.9170 b=8.2712 c=8.8949 alpha=117.71 beta=90.00 gamma=90.00
Last column: nearest neighbours and their distance in Å.
Fractional coordinates of all 19 atoms:
Ba  0.5000  0.5000  0.5000  10 O 2.85-3.00
Ba  0.5000  0.0000  0.5000  10 O 2.85-3.00
La  0.5000  0.2314  0.0000  10 O 2.59-2.74
La  0.5000  0.7686  0.0000  10 O 2.59-2.74
Mn  0.0000  0.3801  0.7602  5 O 1.93-2.08
Mn  0.0000  0.6199  0.2398  5 O 1.93-2.08
Mn  0.0000  0.1251  0.2500  4 O 1.93-1.97
Mn  0.0000  0.8749  0.7500  4 O 1.93-1.97
O  0.5000  0.1165  0.2330  2 Mn 1.96
O  0.5000  0.8835  0.7670  2 Mn 1.96
O  0.0000  0.3735  0.2115  1 Mn 1.93
O  0.0000  0.6265  0.7885  1 Mn 1.93
O  0.0000  0.8380  0.2115  1 Mn 1.93
O  0.0000  0.1620  0.7885  1 Mn 1.93
O  0.5000  0.4073  0.8147  2 Mn 2.00
O  0.5000  0.5927  0.1853  2 Mn 2.00
O  0.0000  0.0000  0.0000  2 Mn 1.97
O  0.0000  0.2478  0.4956  2 Mn 1.93-2.08
O  0.0000  0.7522  0.5044  2 Mn 1.93-2.08

=====

VASP calculation (GGA+U) on an optimized crystal structure of BaLaPrMn3O9.

Output
The calculation puts the total energy at -228.7 eV/cell. As for the space group: P321 (150).

Unit cell a=5.6324 b=5.6324 c=13.5642 alpha=90.00 beta=90.00 gamma=120.00
Last column: nearest neighbours and their distance in Å.
Fractional coordinates of all 30 atoms:
Ba  0.0000  0.0000  0.0000  12 O 2.69-2.95
Ba  0.0000  0.0000  0.5000  12 O 2.67-2.96
La  0.6667  0.3333  0.8316  6 O 2.48-2.70
La  0.3333  0.6667  0.1684  6 O 2.48-2.70
Pr  0.6667  0.3333  0.3317  6 O 2.45-2.68
Pr  0.3333  0.6667  0.6683  6 O 2.45-2.68
Mn  0.6667  0.3333  0.5828  6 O 1.98-2.03
Mn  0.0000  0.0000  0.2507  6 O 2.00
Mn  0.3333  0.6667  0.9167  6 O 1.98-2.03
Mn  0.6667  0.3333  0.0833  6 O 1.98-2.03
Mn  0.0000  0.0000  0.7493  6 O 2.00
Mn  0.3333  0.6667  0.4172  6 O 1.98-2.03
O  0.1063  0.3419  0.3273  2 Mn 2.00-2.03
O  0.7645  0.6581  0.6727  2 Mn 2.00-2.03
O  0.4770  0.0000  0.0000  2 Mn 1.98
O  0.2355  0.8937  0.3273  2 Mn 2.00-2.03
O  0.8937  0.2355  0.6727  2 Mn 2.00-2.03
O  0.5230  0.5230  0.0000  2 Mn 1.98
O  0.6581  0.7645  0.3273  2 Mn 2.00-2.03
O  0.3419  0.1063  0.6727  2 Mn 2.00-2.03
O  0.0000  0.4770  0.0000  2 Mn 1.98
O  0.7683  0.1107  0.1741  2 Mn 2.00-2.03
O  0.4748  0.4748  0.5000  2 Mn 1.98
O  0.1107  0.7683  0.8259  2 Mn 2.00-2.03
O  0.3425  0.2317  0.1741  2 Mn 2.00-2.03
O  0.0000  0.5252  0.5000  2 Mn 1.98
O  0.6575  0.8893  0.8259  2 Mn 2.00-2.03
O  0.8893  0.6575  0.1741  2 Mn 2.00-2.03
O  0.5252  0.0000  0.5000  2 Mn 1.98
O  0.2317  0.3425  0.8259  2 Mn 2.00-2.03